Record 1
{
  "formula": "Cd2AgTe",
  "functional": "PBEsol",
  "state": "relaxed",
  "density_kg_m3": 8722,
  "magmom_total_mub_per_fu": 0.0,
  "space_group": "Pmmm, No. 47",
  "e_form_raw_ev_per_fu": 0.27,
  "n_ef_per_ev_fu": 1.5,
  "cell": [[3.135, 0.000, 0.000], [0.000, 4.081, 0.000], [0.000, 0.000, 6.850]],
  "species": ["Cd", "Cd", "Ag", "Te"],
  "frac_coords": [[0.000, 0.000, 0.215], [0.000, 0.000, 0.785], [0.500, 0.500, 0.000], [0.500, 0.500, 0.500]]
}



Record 2
{
  "formula": "CdAgTe2",
  "functional": "PBEsol",
  "state": "relaxed",
  "density_kg_m3": 6211,
  "magmom_total_mub_per_fu": 0.0,
  "space_group": "I-42d, No. 122",
  "e_form_raw_ev_per_fu": -0.41,
  "n_ef_per_ev_fu": 2.8,
  "cell": [[-3.173, 3.173, 6.315], [3.173, -3.173, 6.315], [3.173, 3.173, -6.315]],
  "species": ["Cd", "Cd", "Ag", "Ag", "Te", "Te", "Te", "Te"],
  "frac_coords": [[0.000, 0.000, 0.000], [0.750, 0.250, 0.500], [0.250, 0.750, 0.500], [0.500, 0.500, 0.000], [0.138, 0.625, 0.013], [0.375, 0.388, 0.513], [0.612, 0.125, 0.987], [0.875, 0.862, 0.487]]
}